(1)
DFT (PBE-GGA) results for crystalline LiNiRh2 at its relaxed geometry.

The value obtained for the formation enthalpy at 0 K is 0.39 eV per atom. As for the offset from the most stable computed form: 450 meV per atom.

Cell and atoms, written as CIF:
```
data_LiNiRh2
_cell_length_a 6.9962
_cell_length_b 6.9962
_cell_length_c 4.8820
_cell_angle_alpha 90.00
_cell_angle_beta 90.00
_cell_angle_gamma 90.00
_space_group_name_H-M_alt 'I -4 2 d'
_space_group_IT_number 122
_space_group_name_Hall 'I -4 2bw'
loop_
_atom_site_label
_atom_site_fract_x
_atom_site_fract_y
_atom_site_fract_z
Li1 0.0000 0.0000 0.0000
Ni1 0.0000 0.0000 0.5000
Rh1 0.2046 0.7500 0.6250
```

***

(2)
DFT (PBE-GGA) results for crystalline Ti2Nb3Rh at its relaxed geometry.

The value obtained for the formation enthalpy at 0 K is -0.17 eV per atom.

Cell and atoms, written as CIF:
```
data_Ti2Nb3Rh
_cell_length_a 2.9099
_cell_length_b 5.1800
_cell_length_c 13.7760
_cell_angle_alpha 89.24
_cell_angle_beta 87.67
_cell_angle_gamma 82.34
_space_group_name_H-M_alt 'P -1'
_space_group_IT_number 2
loop_
_space_group_symop_operation_xyz
'x,y,z'
'-x,-y,-z'
loop_
_atom_site_label
_atom_site_fract_x
_atom_site_fract_y
_atom_site_fract_z
Ti1 0.0109 0.3172 0.1057
Ti2 0.3596 0.3607 0.5828
Nb1 0.0690 0.1213 0.7553
Nb2 0.1350 0.1294 0.4152
Nb3 0.4165 0.7920 0.0661
Rh1 0.4600 0.4006 0.2610
```

***

(3)
DFT (PBE-GGA) results for crystalline AgSeOF2 at its relaxed geometry.

The formation energy from raw total energies is -0.063 eV/atom. As for the offset from the most stable computed form: 578 meV per atom.

Cell and atoms, written as CIF:
```
data_AgSeOF2
_cell_length_a 4.2406
_cell_length_b 4.2406
_cell_length_c 4.3009
_cell_angle_alpha 90.00
_cell_angle_beta 90.00
_cell_angle_gamma 90.00
_space_group_name_H-M_alt 'P 4/m m m'
_space_group_IT_number 123
_space_group_name_Hall '-P 4 2'
loop_
_atom_site_label
_atom_site_fract_x
_atom_site_fract_y
_atom_site_fract_z
Ag1 0.0000 0.0000 0.0000
Se1 0.5000 0.5000 0.5000
O1 0.0000 0.0000 0.5000
F1 0.0000 0.5000 0.0000
```

***

(4)
DFT (PBE-GGA) results for crystalline VI2Br at its relaxed geometry.

The formation energy from raw total energies is 0.329 eV/atom. As for the offset from the most stable computed form: 881 meV per atom.

Cell and atoms, written as CIF:
```
data_VI2Br
_cell_length_a 7.5220
_cell_length_b 7.5220
_cell_length_c 7.5220
_cell_angle_alpha 90.00
_cell_angle_beta 90.00
_cell_angle_gamma 90.00
_space_group_name_H-M_alt 'F m -3 m'
_space_group_IT_number 225
_space_group_name_Hall '-F 4 2 3'
loop_
_atom_site_label
_atom_site_fract_x
_atom_site_fract_y
_atom_site_fract_z
V1 0.0000 0.0000 0.0000
I1 0.2500 0.2500 0.2500
Br1 0.0000 0.0000 0.5000
```